1.
Density functional theory data (PBE-GGA) for CdReCl2 after structural relaxation.

**Energy above the most stable polymorph in this dataset**: 1.548 eV/f.u.
**E_form (uncorrected)**: 0.42 eV per atom

The structure in CIF format:
```
data_CdReCl2
_chemical_formula_sum 'Cd1 Re1 Cl2'
_space_group_name_H-M_alt 'P 1'
_space_group_IT_number 1
_space_group_name_Hall 'P 1'
_cell_length_a 6.108
_cell_length_b 6.108
_cell_length_c 6.108
_cell_angle_alpha 149.93
_cell_angle_beta 110.99
_cell_angle_gamma 77.07
loop_
_atom_site_label
_atom_site_type_symbol
_atom_site_fract_x
_atom_site_fract_y
_atom_site_fract_z
Re1 Re 0.506 0.506 0.000
Cl1 Cl 0.044 0.044 0.000
Cl2 Cl 0.690 0.190 0.500
Cd1 Cd 0.260 0.760 0.500
```

2.
Density functional theory data (PBE-GGA) for TbZnGeAu after structural relaxation.

**Energy of formation from the pure elements**: -0.4674 eV per atom

The structure in CIF format:
```
data_TbZnGeAu
_chemical_formula_sum 'Tb1 Zn1 Ge1 Au1'
_space_group_name_H-M_alt 'P 1'
_space_group_IT_number 1
_space_group_name_Hall 'P 1'
_cell_length_a 4.845
_cell_length_b 4.845
_cell_length_c 4.845
_cell_angle_alpha 60.00
_cell_angle_beta 60.00
_cell_angle_gamma 60.00
loop_
_atom_site_label
_atom_site_type_symbol
_atom_site_fract_x
_atom_site_fract_y
_atom_site_fract_z
Tb1 Tb 0.750 0.750 0.750
Ge1 Ge 0.000 0.000 0.000
Au1 Au 0.500 0.500 0.500
Zn1 Zn 0.250 0.250 0.250
```

3.
Density functional theory data (PBE-GGA) for Er7Tl2Zn2 after structural relaxation.

**Energy of formation from the pure elements**: 0.0010 eV per atom

The structure in CIF format:
```
data_Er7Tl2Zn2
_chemical_formula_sum 'Er7 Tl2 Zn2'
_space_group_name_H-M_alt 'P 1'
_space_group_IT_number 1
_space_group_name_Hall 'P 1'
_cell_length_a 6.715
_cell_length_b 7.502
_cell_length_c 6.715
_cell_angle_alpha 90.00
_cell_angle_beta 110.50
_cell_angle_gamma 90.00
loop_
_atom_site_label
_atom_site_type_symbol
_atom_site_fract_x
_atom_site_fract_y
_atom_site_fract_z
Er1 Er 0.000 0.274 0.500
Er2 Er 0.500 0.726 0.000
Er3 Er 0.000 0.726 0.500
Er4 Er 0.500 0.274 0.000
Er5 Er 0.000 0.000 0.000
Er6 Er 0.500 0.768 0.500
Er7 Er 0.500 0.232 0.500
Tl1 Tl 0.809 0.500 0.809
Tl2 Tl 0.191 0.500 0.191
Zn1 Zn 0.714 0.000 0.286
Zn2 Zn 0.286 0.000 0.714
```

4.
Density functional theory data (PBE-GGA) for Pm8Dy2Er after structural relaxation.

**Energy of formation from the pure elements**: 0.1679 eV per atom
**Energy above the most stable polymorph in this dataset**: 0.000 eV/f.u.

The structure in CIF format:
```
data_Pm8Dy2Er
_chemical_formula_sum 'Pm8 Dy2 Er1'
_space_group_name_H-M_alt 'P 1'
_space_group_IT_number 1
_space_group_name_Hall 'P 1'
_cell_length_a 6.712
_cell_length_b 10.307
_cell_length_c 10.307
_cell_angle_alpha 38.41
_cell_angle_beta 59.72
_cell_angle_gamma 59.72
loop_
_atom_site_label
_atom_site_type_symbol
_atom_site_fract_x
_atom_site_fract_y
_atom_site_fract_z
Pm1 Pm 0.230 0.349 0.825
Pm2 Pm 0.770 0.175 0.651
Pm3 Pm 0.170 0.756 0.756
Pm4 Pm 0.830 0.244 0.244
Pm5 Pm 0.230 0.825 0.349
Pm6 Pm 0.770 0.651 0.175
Pm7 Pm 0.727 0.593 0.593
Pm8 Pm 0.273 0.407 0.407
Dy1 Dy 0.587 0.803 0.803
Dy2 Dy 0.413 0.197 0.197
Er1 Er 0.000 0.000 0.000
```

What did the first record say?
Density functional theory data (PBE-GGA) for CdReCl2 after structural relaxation.

**Energy above the most stable polymorph in this dataset**: 1.548 eV/f.u.
**E_form (uncorrected)**: 0.42 eV per atom

The structure in CIF format:
```
data_CdReCl2
_chemical_formula_sum 'Cd1 Re1 Cl2'
_space_group_name_H-M_alt 'P 1'
_space_group_IT_number 1
_space_group_name_Hall 'P 1'
_cell_length_a 6.108
_cell_length_b 6.108
_cell_length_c 6.108
_cell_angle_alpha 149.93
_cell_angle_beta 110.99
_cell_angle_gamma 77.07
loop_
_atom_site_label
_atom_site_type_symbol
_atom_site_fract_x
_atom_site_fract_y
_atom_site_fract_z
Re1 Re 0.506 0.506 0.000
Cl1 Cl 0.044 0.044 0.000
Cl2 Cl 0.690 0.190 0.500
Cd1 Cd 0.260 0.760 0.500
```